The following is a DFT calculation (GGA-PBE) of a relaxed Hf2TaBeCo crystal.

Output
As for the magnetization: 0.97 μB/f.u. The space-group type is P4/mmm (123). The calculation puts the energy of formation from the pure elements at 63 kJ per mole of atoms. The value obtained for the final energy is -7.8614 eV/atom. The density of states at the Fermi level is 1.050 states/eV per atom.

abc: 4.5956 4.5956 4.3122
angles: 90.00 90.00 90.00
Fractional positions:
Hf 0.0000 0.5000 0.0000
Hf 0.5000 0.0000 0.0000
Ta 0.0000 0.0000 0.5000
Be 0.0000 0.0000 0.0000
Co 0.5000 0.5000 0.5000